Density functional theory data (PBE) for a geometry-optimized BaCdSe2N structure.

POSCAR file:
```
BaCdSe2N
1.0
6.199 0.000 0.000
0.000 6.199 0.000
0.000 0.000 5.225
Ba Cd Se N
1 1 2 1
Direct
0.000 0.000 0.000 Ba
0.500 0.500 0.500 Cd
0.000 0.500 0.000 Se
0.500 0.000 0.000 Se
0.000 0.000 0.500 N
```

Results
SG = P4/mmm
density of states at the Fermi level = 6.2 states/eV/cell

Density functional theory data (PBE) for a geometry-optimized SrBi2Au2 structure.

POSCAR file:
```
SrBi2Au2
1.0
-2.338 2.338 6.614
2.338 -2.338 6.614
2.338 2.338 -6.614
Sr Bi Au
1 2 2
Direct
0.000 0.000 0.000 Sr
0.250 0.750 0.500 Bi
0.750 0.250 0.500 Bi
0.399 0.399 0.000 Au
0.601 0.601 0.000 Au
```

Results
SG = I4/mmm
density of states at the Fermi level = 1.7 states/eV/cell

| no. | final energy (eV/atom) |
| --- | --- |
| 1 | -2.857 |
| 2 | -3.657 |